# 1
V4CrSe8 (GGA-PBE, optimized geometry); SG = No. 216; DOS(E_F) = 8.58 states/eV/f.u.; total magnetization = 8.25 μB/f.u.; polymorph energy (0 for the lowest one) = 0 meV/atom
1.0
7.234 0.000 0.000
3.617 6.265 0.000
3.617 2.088 5.907
Se V Cr
8 4 1
Cartesian
3.617 2.088 3.799
7.234 2.286 3.622
5.597 5.122 3.622
8.872 5.122 3.622
7.234 4.177 0.948
1.721 0.993 0.702
3.617 4.278 0.702
5.514 0.993 0.702
5.140 2.967 2.098
7.234 6.595 2.098
9.328 2.967 2.098
7.234 4.177 5.518
10.851 6.265 4.430



# 2
AlGaPd (GGA-PBE, optimized geometry); SG = No. 67; energy of formation from the pure elements = -1.45 eV/f.u.; DOS(E_F) = 1.34 states/eV/f.u.; total magnetization = 0.00 μB/f.u.
1.0
-2.442 -3.222 1.137
2.229 -0.460 3.530
-3.553 3.652 2.720
Ga Al Pd
2 2 2
Cartesian
-2.027 -2.096 2.700
-1.776 1.429 5.493
-4.027 -0.039 4.231
0.225 -0.627 3.961
-1.848 0.587 2.930
-1.955 -1.254 5.263



# 3
NaMg6Al (GGA-PBE, optimized geometry); SG = No. 38; energy of formation from the pure elements = 0.48 eV/f.u.; DOS(E_F) = 3.03 states/eV/f.u.; total magnetization = 0.00 μB/f.u.
1.0
0.841 5.300 -3.255
-2.853 0.635 5.555
4.592 0.672 2.282
Mg Na Al
6 1 1
Cartesian
2.164 2.166 0.868
2.535 4.876 -0.678
-0.824 1.019 1.358
1.100 5.304 2.084
-0.424 3.702 -0.236
-1.858 4.070 2.540
0.717 2.581 3.656
-2.273 1.368 4.171



# 4
Sn2S2F (GGA-PBE, optimized geometry); SG = No. 2; DOS(E_F) = 1.09 states/eV/f.u.; total magnetization = 0.00 μB/f.u.; polymorph energy (0 for the lowest one) = 0 meV/atom
1.0
5.897 0.055 0.329
3.003 6.135 -0.075
3.905 -0.221 6.984
Sn S F
4 4 2
Cartesian
8.349 1.065 7.083
6.665 4.977 3.248
6.141 0.992 3.989
4.456 4.904 0.155
5.422 3.092 1.888
10.479 5.364 5.383
2.327 0.605 1.854
7.384 2.877 5.350
4.473 0.476 5.996
8.332 5.493 1.242



# 5
Zr2ZnTc (GGA-PBE, optimized geometry); SG = No. 123; energy of formation from the pure elements = -1.46 eV/f.u.; DOS(E_F) = 3.14 states/eV/f.u.; total magnetization = 0.00 μB/f.u.
1.0
3.350 0.000 0.000
0.000 3.350 0.000
0.000 0.000 6.554
Zn Tc Zr
1 1 2
Cartesian
1.675 1.675 4.915
1.675 1.675 1.638
0.000 0.000 3.218
0.000 0.000 0.059